The following is a DFT calculation (PBE) of ZrScPd2 after structural relaxation.

Unit cell a=5.9170 b=5.9170 c=5.9170 alpha=60.53 beta=151.19 gamma=128.01
Atoms (fractional coordinates):
1 Zr 0.0000 0.5000 0.5000
2 Sc 0.0000 0.0000 0.0000
3 Pd 0.0000 0.2473 0.2473
4 Pd 0.0000 0.7527 0.7527

For the calculated formation energy, the calculation gives -0.010 eV per atom. The density of states at the Fermi level is 2.606 states/eV/cell. Its total magnetization is 0.00 μB per atom.

***

The following is a DFT calculation (PBE) of ZrSc3Pd after structural relaxation.

Unit cell a=5.0310 b=5.0310 c=5.0310 alpha=90.00 beta=90.00 gamma=90.00
Atoms (fractional coordinates):
1 Sc 0.0000 0.5000 0.0000
2 Sc 0.0000 0.0000 0.5000
3 Sc 0.5000 0.0000 0.0000
4 Zr 0.5000 0.5000 0.5000
5 Pd 0.0000 0.0000 0.0000

The calculation puts the energy above the lowest structure with this stoichiometry at 0 meV per atom. For the calculated formation energy, the calculation gives 0.098 eV per atom. The density of states at the Fermi level is 7.860 states/eV/cell. Its total magnetization is 0.23 μB per atom.

***

Look up the calculated formation energy of the first one. -0.010 eV per atom

***

Which of these has the lowest density of states at the Fermi level? ZrScPd2

***

Look up the calculated formation energy of the first one. -0.010 eV per atom